No. 1
This record from Alexandria describes a relaxed Li2Ca crystal. The functional is PBE.

Summary:
- ΔE_f (meV per atom) = -11
- excess energy over the best structure of this formula in the dataset (meV per atom) = 0
- total magnetic moment (μB/f.u.) = 0.00

a b c (Å): 6.1930 6.1930 9.9775
angles (deg): 90.00 90.00 120.01
Fractional coordinates of all 12 atoms:
1 Ca 0.3333 0.6667 0.9378
2 Ca 0.6667 0.3333 0.4378
3 Ca 0.6667 0.3333 0.0622
4 Ca 0.3333 0.6667 0.5622
5 Li 0.0000 0.0000 0.0000
6 Li 0.0000 0.0000 0.5000
7 Li 0.1676 0.3352 0.2500
8 Li 0.6648 0.8324 0.2500
9 Li 0.1676 0.8324 0.2500
10 Li 0.8324 0.6648 0.7500
11 Li 0.3352 0.1676 0.7500
12 Li 0.8324 0.1676 0.7500



No. 2
This record from Alexandria describes a relaxed Zr3In2Se6 crystal. The functional is PBE.

Summary:
- uncorrected formation energy (eV/atom) = -1.07
- total magnetic moment (μB/f.u.) = 0.00

a b c (Å): 6.5360 6.5388 8.2486
angles (deg): 82.38 74.61 60.01
Fractional coordinates of all 11 atoms:
1 Zr 0.0000 0.0000 0.0000
2 Zr 0.3324 0.3352 0.0000
3 Zr 0.6676 0.6648 0.0000
4 In 0.1663 0.6674 0.5000
5 In 0.8337 0.3326 0.5000
6 Se 0.4031 0.6665 0.7916
7 Se 0.7365 0.0000 0.7912
8 Se 0.0696 0.3335 0.7916
9 Se 0.2635 0.0000 0.2088
10 Se 0.5969 0.3335 0.2084
11 Se 0.9304 0.6665 0.2084



No. 3
This record from Alexandria describes a relaxed TbPm3Dy2S6 crystal. The functional is PBE.

Summary:
- uncorrected formation energy (eV/atom) = -2.02
- total magnetic moment (μB/f.u.) = 0.00

a b c (Å): 6.8653 6.8653 6.9166
angles (deg): 99.50 99.50 120.18
Fractional coordinates of all 12 atoms:
1 Tb 0.0000 0.0000 0.0000
2 Pm 0.1661 0.8339 0.5000
3 Pm 0.8339 0.1661 0.5000
4 Pm 0.5000 0.5000 0.5000
5 Dy 0.3334 0.6666 0.0000
6 Dy 0.6666 0.3334 0.0000
7 S 0.9205 0.5859 0.7613
8 S 0.7447 0.7447 0.2383
9 S 0.0795 0.4141 0.2387
10 S 0.5859 0.9205 0.7613
11 S 0.2553 0.2553 0.7617
12 S 0.4141 0.0795 0.2387



No. 4
This record from Alexandria describes a relaxed ZrReTe2 crystal. The functional is PBE.

Summary:
- uncorrected formation energy (eV/atom) = 0.02
- excess energy over the best structure of this formula in the dataset (meV per atom) = 241
- total magnetic moment (μB/f.u.) = 0.00

a b c (Å): 7.2471 7.2471 7.2471
angles (deg): 153.38 145.12 44.41
Fractional coordinates of all 4 atoms:
1 Re 0.2612 0.7612 0.5000
2 Te 0.0416 0.0416 0.0000
3 Te 0.7732 0.2732 0.5000
4 Zr 0.4240 0.4240 0.0000



No. 5
This record from Alexandria describes a relaxed YHfH2 crystal. The functional is PBE.

Summary:
- excess energy over the best structure of this formula in the dataset (meV per atom) = 66
- total magnetic moment (μB/f.u.) = 0.00

a b c (Å): 3.3329 3.3329 5.8434
angles (deg): 73.43 73.43 60.00
Fractional coordinates of all 4 atoms:
1 Y 0.5000 0.5000 0.5000
2 H 0.7302 0.7302 0.8094
3 H 0.2698 0.2698 0.1906
4 Hf 0.0000 0.0000 0.0000



No. 6
This record from Alexandria describes a relaxed Na2OsO4 crystal. The functional is PBE.

Summary:
- uncorrected formation energy (eV/atom) = -1.34
- excess energy over the best structure of this formula in the dataset (meV per atom) = 6
- total magnetic moment (μB/f.u.) = 0.00

a b c (Å): 3.1807 5.7317 5.9540
angles (deg): 60.13 89.98 73.88
Fractional coordinates of all 7 atoms:
1 Na 0.6745 0.6504 0.6971
2 Na 0.3255 0.3496 0.3029
3 Os 0.0000 0.0000 0.0000
4 O 0.9271 0.1462 0.6509
5 O 0.0729 0.8538 0.3491
6 O 0.6270 0.7461 0.0408
7 O 0.3730 0.2539 0.9592



No. 7
This record from Alexandria describes a relaxed PrEr4S5 crystal. The functional is PBE.

Summary:
- uncorrected formation energy (eV/atom) = -1.95
- total magnetic moment (μB/f.u.) = 0.00

a b c (Å): 3.8994 5.5438 10.3879
angles (deg): 105.48 100.82 90.00
Fractional coordinates of all 10 atoms:
1 Pr 0.0000 0.0000 0.0000
2 Er 0.4008 0.4008 0.8016
3 Er 0.7968 0.7968 0.5937
4 Er 0.2032 0.2032 0.4063
5 Er 0.5992 0.5992 0.1984
6 S 0.6077 0.1077 0.2154
7 S 0.8015 0.3015 0.6030
8 S 0.1985 0.6985 0.3970
9 S 0.0000 0.5000 0.0000
10 S 0.3923 0.8923 0.7846



No. 8
This record from Alexandria describes a relaxed CeReB crystal. The functional is PBE.

Summary:
- ΔE_f (meV per atom) = -99
- excess energy over the best structure of this formula in the dataset (meV per atom) = 0
- total magnetic moment (μB/f.u.) = 0.00

a b c (Å): 4.1449 3.7849 3.7849
angles (deg): 120.00 90.00 90.00
Fractional coordinates of all 3 atoms:
1 Re 0.1667 0.3333 0.6667
2 B 0.1669 0.0000 0.0000
3 Ce 0.6664 0.6667 0.3333



No. 9
This record from Alexandria describes a relaxed PaGeAs2 crystal. The functional is PBE.

Summary:
- ΔE_f (meV per atom) = 296
- excess energy over the best structure of this formula in the dataset (meV per atom) = 881
- total magnetic moment (μB/f.u.) = 0.00

a b c (Å): 3.3979 3.3979 9.3517
angles (deg): 79.53 79.53 60.00
Fractional coordinates of all 4 atoms:
1 As 0.1047 0.1047 0.6859
2 As 0.8953 0.8953 0.3140
3 Pa 0.0000 0.0000 0.0000
4 Ge 0.5000 0.5000 0.5000



No. 10
This record from Alexandria describes a relaxed MgTcSn3 crystal. The functional is PBE.

Summary:
- ΔE_f (meV per atom) = 1190
- excess energy over the best structure of this formula in the dataset (meV per atom) = 1176
- total magnetic moment (μB/f.u.) = 3.76

a b c (Å): 5.2878 5.2878 5.2878
angles (deg): 90.00 90.00 90.00
Fractional coordinates of all 5 atoms:
1 Mg 0.0000 0.0000 0.0000
2 Sn 0.0000 0.5000 0.0000
3 Sn 0.0000 0.0000 0.5000
4 Sn 0.5000 0.0000 0.0000
5 Tc 0.5000 0.5000 0.5000



No. 11
This record from Alexandria describes a relaxed Tb15Pm2Sc2 crystal. The functional is PBE.

Summary:
- ΔE_f (meV per atom) = 277
- total magnetic moment (μB/f.u.) = 2.03

a b c (Å): 8.6757 8.6757 8.6757
angles (deg): 80.06 80.06 80.06
Fractional coordinates of all 19 atoms:
1 Tb 0.5000 0.0000 0.0000
2 Tb 0.0000 0.0000 0.5000
3 Tb 0.0000 0.5000 0.0000
4 Tb 0.0000 0.2932 0.7068
5 Tb 0.2932 0.7068 0.0000
6 Tb 0.7068 0.0000 0.2932
7 Tb 0.7068 0.2932 0.0000
8 Tb 0.2932 0.0000 0.7068
9 Tb 0.0000 0.7068 0.2932
10 Tb 0.8530 0.3666 0.3666
11 Tb 0.3666 0.3666 0.8530
12 Tb 0.3666 0.8530 0.3666
13 Tb 0.1470 0.6334 0.6334
14 Tb 0.6334 0.6334 0.1470
15 Tb 0.6334 0.1470 0.6334
16 Pm 0.6786 0.6786 0.6786
17 Pm 0.3214 0.3214 0.3214
18 Sc 0.9090 0.9090 0.9090
19 Sc 0.0910 0.0910 0.0910



No. 12
This record from Alexandria describes a relaxed BaCu2Sb3 crystal. The functional is PBE.

Summary:
- uncorrected formation energy (eV/atom) = -0.31
- total magnetic moment (μB/f.u.) = 0.00

a b c (Å): 4.8128 4.8128 13.7217
angles (deg): 100.10 100.10 90.00
Fractional coordinates of all 12 atoms:
1 Ba 0.8439 0.8439 0.6879
2 Ba 0.1561 0.1561 0.3121
3 Cu 0.2500 0.7500 0.5000
4 Cu 0.7500 0.2500 0.5000
5 Cu 0.3995 0.3995 0.7990
6 Cu 0.6005 0.6005 0.2010
7 Sb 0.4459 0.9459 0.8918
8 Sb 0.9459 0.4459 0.8918
9 Sb 0.5541 0.0541 0.1082
10 Sb 0.3008 0.3008 0.6016
11 Sb 0.6992 0.6992 0.3984
12 Sb 0.0541 0.5541 0.1082



No. 13
This record from Alexandria describes a relaxed Ac2NdDy crystal. The functional is PBE.

Summary:
- ΔE_f (meV per atom) = 212
- excess energy over the best structure of this formula in the dataset (meV per atom) = 176
- total magnetic moment (μB/f.u.) = 0.00

a b c (Å): 6.4755 6.6792 8.8563
angles (deg): 67.85 98.85 114.11
Fractional coordinates of all 8 atoms:
1 Ac 0.9414 0.9340 0.7605
2 Ac 0.0586 0.0660 0.2395
3 Ac 0.5587 0.3056 0.7605
4 Ac 0.4413 0.6944 0.2395
5 Nd 0.2504 0.5673 0.8650
6 Nd 0.7496 0.4327 0.1350
7 Dy 0.0000 0.5000 0.5000
8 Dy 0.5000 0.0000 0.5000



No. 14
This record from Alexandria describes a relaxed NbAl2Au crystal. The functional is PBE.

Summary:
- ΔE_f (meV per atom) = -128
- total magnetic moment (μB/f.u.) = 0.00

a b c (Å): 4.2357 4.2357 5.0253
angles (deg): 65.07 65.07 60.00
Fractional coordinates of all 4 atoms:
1 Nb 0.5000 0.5000 0.5000
2 Au 0.0000 0.0000 0.0000
3 Al 0.2717 0.2717 0.1849
4 Al 0.7283 0.7283 0.8151



No. 15
This record from Alexandria describes a relaxed PmSmCSe crystal. The functional is PBE.

Summary:
- uncorrected formation energy (eV/atom) = -1.00
- total magnetic moment (μB/f.u.) = 0.00

a b c (Å): 3.8465 3.8464 7.2846
angles (deg): 90.02 105.30 120.00
Fractional coordinates of all 4 atoms:
1 Pm 0.5014 0.1488 0.6654
2 Sm 0.1046 0.9505 0.0703
3 C 0.3051 0.5500 0.8708
4 Se 0.9668 0.3815 0.3632



No. 16
This record from Alexandria describes a relaxed Nd2Ho3Mg2 crystal. The functional is PBE.

Summary:
- ΔE_f (meV per atom) = 29
- total magnetic moment (μB/f.u.) = 0.00

a b c (Å): 3.5293 3.4992 17.3160
angles (deg): 90.00 95.85 90.00
Fractional coordinates of all 7 atoms:
1 Nd 0.2955 0.5000 0.5910
2 Nd 0.7045 0.5000 0.4090
3 Ho 0.4285 0.5000 0.8569
4 Ho 0.5715 0.5000 0.1431
5 Ho 0.0000 0.0000 0.0000
6 Mg 0.1366 0.0000 0.2731
7 Mg 0.8634 0.0000 0.7269



No. 17
This record from Alexandria describes a relaxed KCrAu crystal. The functional is PBE.

Summary:
- ΔE_f (meV per atom) = 425
- excess energy over the best structure of this formula in the dataset (meV per atom) = 157
- total magnetic moment (μB/f.u.) = 0.00

a b c (Å): 9.2853 2.9262 10.8616
angles (deg): 90.00 90.00 90.00
Fractional coordinates of all 12 atoms:
1 Cr 0.0675 0.2500 0.4667
2 Cr 0.4325 0.7500 0.9667
3 Cr 0.9325 0.7500 0.5333
4 Cr 0.5675 0.2500 0.0333
5 K 0.0823 0.2500 0.8273
6 K 0.4177 0.7500 0.3273
7 K 0.9177 0.7500 0.1727
8 K 0.5823 0.2500 0.6727
9 Au 0.7431 0.2500 0.4035
10 Au 0.7569 0.7500 0.9035
11 Au 0.2569 0.7500 0.5965
12 Au 0.2431 0.2500 0.0965



No. 18
This record from Alexandria describes a relaxed Ba2SeO5 crystal. The functional is PBE.

Summary:
- uncorrected formation energy (eV/atom) = -1.87
- total magnetic moment (μB/f.u.) = 0.00

a b c (Å): 6.0757 6.0757 5.7953
angles (deg): 121.61 121.61 90.00
Fractional coordinates of all 8 atoms:
1 Ba 0.2381 0.7381 0.4762
2 Ba 0.7381 0.2381 0.4762
3 Se 0.9708 0.9708 0.9416
4 O 0.8147 0.2242 0.0389
5 O 0.2242 0.2242 0.0389
6 O 0.8147 0.8147 0.0389
7 O 0.2242 0.8147 0.0389
8 O 0.7521 0.7521 0.5042



No. 19
This record from Alexandria describes a relaxed InCo2NiC crystal. The functional is PBE.

Summary:
- ΔE_f (meV per atom) = -5
- total magnetic moment (μB/f.u.) = 0.00

a b c (Å): 3.8061 3.8061 3.9298
angles (deg): 90.00 90.00 90.00
Fractional coordinates of all 5 atoms:
1 Ni 0.0000 0.0000 0.5000
2 C 0.0000 0.0000 0.0000
3 Co 0.0000 0.5000 0.0000
4 Co 0.5000 0.0000 0.0000
5 In 0.5000 0.5000 0.5000



No. 20
This record from Alexandria describes a relaxed Sn3SbS crystal. The functional is PBE.

Summary:
- uncorrected formation energy (eV/atom) = 0.22
- excess energy over the best structure of this formula in the dataset (meV per atom) = 0
- total magnetic moment (μB/f.u.) = 0.00

a b c (Å): 5.3633 5.3633 5.3633
angles (deg): 90.00 90.00 90.00
Fractional coordinates of all 5 atoms:
1 Sb 0.5000 0.5000 0.5000
2 S 0.0000 0.0000 0.0000
3 Sn 0.0000 0.5000 0.0000
4 Sn 0.0000 0.0000 0.5000
5 Sn 0.5000 0.0000 0.0000



| no. | VASP energy (eV/atom) |
| --- | --- |
| 1 | -1.9543 |
| 2 | -5.8031 |
| 3 | -6.4269 |
| 4 | -6.7967 |
| 5 | -6.0234 |
| 6 | -6.1583 |
| 7 | -6.3165 |
| 8 | -8.4523 |
| 9 | -5.5569 |
| 10 | -3.6037 |
| 11 | -4.5451 |
| 12 | -4.0604 |
| 13 | -4.1844 |
| 14 | -5.3357 |
| 15 | -6.5463 |
| 16 | -3.7509 |
| 17 | -4.2413 |
| 18 | -5.8851 |
| 19 | -6.3962 |
| 20 | -3.8341 |